Below is a relaxed structure of ZrTaNb2, with properties calculated at the GGA-PBEsol level.

POSCAR file:
```
ZrTaNb2
1.0
0.0000 3.3313 3.3313
3.3313 0.0000 3.3313
3.3313 3.3313 0.0000
Zr Ta Nb
1 1 2
direct
0.0000 0.0000 0.0000
0.5000 0.5000 0.5000
0.2500 0.2500 0.2500
0.7500 0.7500 0.7500
```

## Properties
energy of formation from the pure elements: 0.066 eV/atom
magnetization: 0.0 μB/f.u.
symmetry: No. 225
Fermi-level density of states: 7.20 states/eV/cell
crystal system: cubic

Below is a relaxed structure of SrAsPdSe2, with properties calculated at the GGA-PBEsol level.

POSCAR file:
```
SrAsPdSe2
1.0
5.5093 0.0000 0.0000
0.0000 5.5093 0.0000
0.0000 0.0000 5.5217
Sr As Pd Se
1 1 1 2
direct
0.0000 0.0000 0.0000
0.0000 0.0000 0.5000
0.5000 0.5000 0.5000
0.0000 0.5000 0.0000
0.5000 0.0000 0.0000
```

## Properties
ΔE_f (raw): 0.98 eV per atom
magnetization: 0.0 μB/f.u.
symmetry: No. 123
Fermi-level density of states: 7.38 states/eV/cell
crystal system: tetragonal

Below is a relaxed structure of SbWSe2, with properties calculated at the GGA-PBEsol level.

POSCAR file:
```
SbWSe2
1.0
-2.1804 2.1804 3.8925
2.1804 -2.1804 3.8925
2.1804 2.1804 -3.8925
Sb W Se
1 1 2
direct
0.0000 0.0000 0.0000
0.7500 0.2500 0.5000
0.2500 0.7500 0.5000
0.5000 0.5000 0.0000
```

## Properties
ΔE_f (raw): 0.66 eV per atom
magnetization: 0.0 μB/f.u.
symmetry: No. 119
Fermi-level density of states: 3.15 states/eV/cell
crystal system: tetragonal

Below is a relaxed structure of KTc3I, with properties calculated at the GGA-PBEsol level.

POSCAR file:
```
KTc3I
1.0
4.8871 0.0000 0.0000
0.0000 4.8871 0.0000
0.0000 0.0000 4.8871
K Tc I
1 3 1
direct
0.0000 0.0000 0.0000
0.0000 0.5000 0.5000
0.5000 0.0000 0.5000
0.5000 0.5000 0.0000
0.5000 0.5000 0.5000
```

## Properties
ΔE_f (raw): 2.05 eV per atom
magnetization: 2.7 μB/f.u.
symmetry: No. 221
Fermi-level density of states: 5.10 states/eV/cell
crystal system: cubic

Below is a relaxed structure of CdCl2, with properties calculated at the GGA-PBEsol level.

POSCAR file:
```
CdCl2
1.0
1.9113 1.1035 5.9413
-1.9113 1.1035 5.9413
0.0000 -2.2070 5.9413
Cd Cl
1 2
direct
0.0000 0.0000 0.0000
0.2531 0.2531 0.2531
0.7469 0.7469 0.7469
```

## Properties
ΔE_f (raw): -1.07 eV per atom
magnetization: 0.0 μB/f.u.
symmetry: No. 166
Fermi-level density of states: 0.00 states/eV/cell
crystal system: trigonal

Below is a relaxed structure of Ba3Fe2BrO5, with properties calculated at the GGA-PBEsol level.

POSCAR file:
```
Ba3Fe2BrO5
1.0
3.9767 0.0000 0.0000
0.0000 3.9767 0.0000
0.0000 0.0000 12.0802
Ba Fe Br O
3 2 1 5
direct
0.0000 0.0000 0.0000
0.0000 0.0000 0.3158
0.0000 0.0000 0.6842
0.5000 0.5000 0.1597
0.5000 0.5000 0.8403
0.5000 0.5000 0.5000
0.0000 0.5000 0.1820
0.0000 0.5000 0.8180
0.5000 0.0000 0.1820
0.5000 0.0000 0.8180
0.5000 0.5000 0.0000
```

## Properties
ΔE_f (raw): -1.99 eV per atom
magnetization: 7.8 μB/f.u.
symmetry: No. 123
Fermi-level density of states: 4.56 states/eV/cell
crystal system: tetragonal

Below is a relaxed structure of KReTcBr2, with properties calculated at the GGA-PBEsol level.

POSCAR file:
```
KReTcBr2
1.0
5.5290 0.0000 0.0000
0.0000 5.5290 0.0000
0.0000 0.0000 5.9193
K Re Tc Br
1 1 1 2
direct
0.0000 0.0000 0.0000
0.0000 0.0000 0.5000
0.5000 0.5000 0.5000
0.0000 0.5000 0.0000
0.5000 0.0000 0.0000
```

## Properties
ΔE_f (raw): 2.31 eV per atom
magnetization: 0.1 μB/f.u.
symmetry: No. 123
Fermi-level density of states: 4.19 states/eV/cell
crystal system: tetragonal

Below is a relaxed structure of GdZn, with properties calculated at the GGA-PBEsol level.

POSCAR file:
```
GdZn
1.0
3.5327 0.0000 0.0000
0.0000 3.5327 0.0000
0.0000 0.0000 3.5327
Gd Zn
1 1
direct
0.0000 0.0000 0.0000
0.5000 0.5000 0.5000
```

## Properties
energy of formation from the pure elements: -0.348 eV/atom
magnetization: 7.5 μB/f.u.
symmetry: No. 221
Fermi-level density of states: 1.86 states/eV/cell
crystal system: cubic

Below is a relaxed structure of RbCd2TcI, with properties calculated at the GGA-PBEsol level.

POSCAR file:
```
RbCd2TcI
1.0
5.2600 0.0000 0.0000
0.0000 5.2600 0.0000
0.0000 0.0000 6.7395
Rb Cd Tc I
1 2 1 1
direct
0.0000 0.0000 0.0000
0.0000 0.5000 0.5000
0.5000 0.0000 0.5000
0.0000 0.0000 0.5000
0.5000 0.5000 0.0000
```

## Properties
ΔE_f (raw): 0.66 eV per atom
magnetization: 3.1 μB/f.u.
symmetry: No. 123
Fermi-level density of states: 4.59 states/eV/cell
crystal system: tetragonal

Below is a relaxed structure of Li2CdGa2, with properties calculated at the GGA-PBEsol level.

POSCAR file:
```
Li2CdGa2
1.0
7.2203 0.0000 0.0000
0.0000 7.2203 0.0000
0.0000 0.0000 3.1868
Li Cd Ga
4 2 4
direct
0.1719 0.3281 0.0000
0.3281 0.8281 0.0000
0.6719 0.1719 0.0000
0.8281 0.6719 0.0000
0.0000 0.0000 0.5000
0.5000 0.5000 0.5000
0.1263 0.6263 0.5000
0.3737 0.1263 0.5000
0.6263 0.8737 0.5000
0.8737 0.3737 0.5000
```

## Properties
energy of formation from the pure elements: -0.216 eV/atom
magnetization: 0.0 μB/f.u.
symmetry: No. 127
Fermi-level density of states: 3.72 states/eV/cell
crystal system: tetragonal

Below is a relaxed structure of TaTe3Os, with properties calculated at the GGA-PBEsol level.

POSCAR file:
```
TaTe3Os
1.0
5.0761 0.0000 0.0000
0.0000 5.0761 0.0000
0.0000 0.0000 5.0761
Ta Te Os
1 3 1
direct
0.0000 0.0000 0.0000
0.0000 0.5000 0.5000
0.5000 0.0000 0.5000
0.5000 0.5000 0.0000
0.5000 0.5000 0.5000
```

## Properties
ΔE_f (raw): 1.36 eV per atom
magnetization: 1.4 μB/f.u.
symmetry: No. 221
Fermi-level density of states: 5.88 states/eV/cell
crystal system: cubic

Below is a relaxed structure of AlRe2IrAu, with properties calculated at the GGA-PBEsol level.

POSCAR file:
```
AlRe2IrAu
1.0
4.4175 0.0000 0.0000
0.0000 4.4175 0.0000
0.0000 0.0000 4.3839
Al Re Ir Au
1 2 1 1
direct
0.0000 0.0000 0.0000
0.0000 0.5000 0.0000
0.5000 0.0000 0.0000
0.5000 0.5000 0.5000
0.0000 0.0000 0.5000
```

## Properties
energy of formation from the pure elements: 1.966 eV/atom
magnetization: 1.4 μB/f.u.
symmetry: No. 123
Fermi-level density of states: 8.14 states/eV/cell
crystal system: tetragonal

Below is a relaxed structure of TlSb2Pb, with properties calculated at the GGA-PBEsol level.

POSCAR file:
```
TlSb2Pb
1.0
3.3476 0.0000 0.0000
0.0000 5.0502 0.0000
-0.0094 0.0000 6.7782
Tl Sb Pb
1 2 1
direct
0.0000 0.0000 0.0000
0.4995 0.5000 0.2737
0.5005 0.5000 0.7263
0.0000 0.0000 0.5000
```

## Properties
ΔE_f (raw): 0.06 eV per atom
magnetization: 0.0 μB/f.u.
symmetry: No. 10
Fermi-level density of states: 1.91 states/eV/cell
crystal system: monoclinic

Below is a relaxed structure of Mg2Tl, with properties calculated at the GGA-PBEsol level.

POSCAR file:
```
Mg2Tl
1.0
0.0000 4.1789 4.1789
4.1789 0.0000 4.1789
4.1789 4.1789 0.0000
Mg Tl
4 2
direct
0.0000 0.0000 0.0000
0.0000 0.0000 0.5000
0.0000 0.5000 0.0000
0.5000 0.0000 0.0000
0.3750 0.3750 0.3750
0.6250 0.6250 0.6250
```

## Properties
energy of formation from the pure elements: 0.033 eV/atom
magnetization: 0.0 μB/f.u.
symmetry: No. 227
Fermi-level density of states: 1.99 states/eV/cell
crystal system: cubic

Below is a relaxed structure of KLaCo2, with properties calculated at the GGA-PBEsol level.

POSCAR file:
```
KLaCo2
1.0
3.7922 0.0000 0.0000
0.0000 3.7922 0.0000
0.0000 0.0000 7.4666
K La Co
1 1 2
direct
0.0000 0.0000 0.0000
0.0000 0.0000 0.5000
0.5000 0.5000 0.3553
0.5000 0.5000 0.6447
```

## Properties
energy of formation from the pure elements: 0.592 eV/atom
magnetization: 2.7 μB/f.u.
symmetry: No. 123
Fermi-level density of states: 4.12 states/eV/cell
crystal system: tetragonal
energy relative to the lowest polymorph listed for this composition: 0.000 eV per atom

Below is a relaxed structure of Zr2TcTeW, with properties calculated at the GGA-PBEsol level.

POSCAR file:
```
Zr2TcTeW
1.0
4.8668 0.0000 0.0000
0.0000 4.8668 0.0000
0.0000 0.0000 4.8680
Zr Tc Te W
2 1 1 1
direct
0.0000 0.5000 0.0000
0.5000 0.0000 0.0000
0.0000 0.0000 0.0000
0.0000 0.0000 0.5000
0.5000 0.5000 0.5000
```

## Properties
ΔE_f (raw): 1.20 eV per atom
magnetization: 2.0 μB/f.u.
symmetry: No. 123
Fermi-level density of states: 5.22 states/eV/cell
crystal system: tetragonal

Below is a relaxed structure of Cs2RbNa, with properties calculated at the GGA-PBEsol level.

POSCAR file:
```
Cs2RbNa
1.0
-6.0892 6.0892 4.5574
6.0892 -6.0892 4.5574
6.0892 6.0892 -4.5574
Cs Rb Na
4 2 2
direct
0.0850 0.6250 0.9600
0.3750 0.3350 0.4600
0.6650 0.1250 0.0400
0.8750 0.9150 0.5400
0.2500 0.7500 0.5000
0.5000 0.5000 0.0000
0.0000 0.0000 0.0000
0.7500 0.2500 0.5000
```

## Properties
energy of formation from the pure elements: 0.074 eV/atom
magnetization: 0.0 μB/f.u.
symmetry: No. 122
Fermi-level density of states: 7.29 states/eV/cell
crystal system: tetragonal
energy relative to the lowest polymorph listed for this composition: 0.054 eV per atom

Below is a relaxed structure of CuAg10Pb3O12, with properties calculated at the GGA-PBEsol level.

POSCAR file:
```
CuAg10Pb3O12
1.0
6.9591 -5.0129 0.0000
6.9591 5.0129 0.0000
-2.3715 0.0000 5.2560
Cu Ag Pb O
1 10 3 12
direct
0.0000 0.0000 0.0000
0.0790 0.4150 0.2438
0.1903 0.5392 0.8724
0.3267 0.1662 0.9915
0.3282 0.1636 0.4888
0.4608 0.8097 0.1276
0.5850 0.9210 0.7562
0.6949 0.0193 0.3553
0.8338 0.6733 0.0085
0.8364 0.6718 0.5112
0.9807 0.3051 0.6447
0.1507 0.8493 0.5000
0.4958 0.5042 0.5000
0.6791 0.3209 0.0000
0.0429 0.7744 0.0852
0.1044 0.0806 0.3767
0.2256 0.9571 0.9148
0.2287 0.5757 0.5237
0.4243 0.7713 0.4763
0.4263 0.3809 0.0855
0.5471 0.2559 0.5868
0.6191 0.5737 0.9145
0.7441 0.4529 0.4132
0.7547 0.0596 0.0338
0.9194 0.8956 0.6233
0.9404 0.2453 0.9662
```

## Properties
ΔE_f (raw): -0.40 eV per atom
magnetization: 1.6 μB/f.u.
symmetry: No. 5
Fermi-level density of states: 4.91 states/eV/cell
crystal system: monoclinic

Below is a relaxed structure of EuTiO3, with properties calculated at the GGA-PBEsol level.

POSCAR file:
```
EuTiO3
1.0
-2.7182 2.7182 3.9268
2.7182 -2.7182 3.9268
2.7182 2.7182 -3.9268
Eu Ti O
2 2 6
direct
0.2500 0.7500 0.5000
0.7500 0.2500 0.5000
0.0000 0.0000 0.0000
0.5000 0.5000 0.0000
0.2011 0.7011 0.9022
0.2500 0.2500 0.0000
0.2989 0.2011 0.5000
0.7011 0.7989 0.5000
0.7500 0.7500 0.0000
0.7989 0.2989 0.0978
```

## Properties
ΔE_f (raw): -3.23 eV per atom
magnetization: 6.9 μB/f.u.
symmetry: No. 140
Fermi-level density of states: 22.55 states/eV/cell
crystal system: tetragonal

Below is a relaxed structure of BaSr7Fe6Co2O24, with properties calculated at the GGA-PBEsol level.

POSCAR file:
```
BaSr7Fe6Co2O24
1.0
7.5766 0.0000 0.0000
0.0000 5.3841 5.3804
0.0000 -5.3841 5.3804
Ba Sr Fe Co O
1 7 6 2 24
direct
0.0000 0.0000 0.0000
0.0000 0.0001 0.5019
0.0000 0.5019 0.0001
0.0000 0.5020 0.5020
0.5000 0.0003 0.0003
0.5000 0.0005 0.5018
0.5000 0.5018 0.0005
0.5000 0.5019 0.5019
0.2513 0.2524 0.2524
0.2513 0.2527 0.7497
0.2513 0.7497 0.2527
0.7487 0.2524 0.2524
0.7487 0.2527 0.7497
0.7487 0.7497 0.2527
0.2517 0.7499 0.7499
0.7483 0.7499 0.7499
0.0000 0.2547 0.2547
0.0000 0.2550 0.7472
0.0000 0.7472 0.2550
0.0000 0.7468 0.7468
0.2509 0.2523 0.5001
0.2510 0.4980 0.7501
0.2509 0.5001 0.2523
0.2510 0.7501 0.4980
0.2543 0.0019 0.2550
0.2544 0.0048 0.7465
0.2543 0.2550 0.0019
0.2544 0.7465 0.0048
0.5000 0.2524 0.2524
0.5000 0.2526 0.7497
0.5000 0.7497 0.2526
0.5000 0.7502 0.7502
0.7457 0.0019 0.2550
0.7456 0.0048 0.7465
0.7457 0.2550 0.0019
0.7456 0.7465 0.0048
0.7491 0.2523 0.5001
0.7490 0.4980 0.7501
0.7491 0.5001 0.2523
0.7490 0.7501 0.4980
```

## Properties
ΔE_f (raw): -1.97 eV per atom
magnetization: 24.7 μB/f.u.
symmetry: No. 38
Fermi-level density of states: 10.39 states/eV/cell
crystal system: orthorhombic

Below is a relaxed structure of LiCdCl2, with properties calculated at the GGA-PBEsol level.

POSCAR file:
```
LiCdCl2
1.0
0.0000 3.4848 3.4848
3.4848 0.0000 3.4848
3.4848 3.4848 0.0000
Li Cd Cl
1 1 2
direct
0.0000 0.0000 0.0000
0.2500 0.2500 0.2500
0.5000 0.5000 0.5000
0.7500 0.7500 0.7500
```

## Properties
ΔE_f (raw): -0.48 eV per atom
magnetization: 0.7 μB/f.u.
symmetry: No. 216
Fermi-level density of states: 3.27 states/eV/cell
crystal system: cubic
energy relative to the lowest polymorph listed for this composition: 0.538 eV per atom

Below is a relaxed structure of CrOs3, with properties calculated at the GGA-PBEsol level.

POSCAR file:
```
CrOs3
1.0
5.3476 0.0000 0.0000
0.0000 12.9334 0.0000
0.0000 0.0000 4.6454
Cr Os
6 18
direct
0.2500 0.0870 0.1625
0.2500 0.4130 0.1625
0.2500 0.7500 0.5066
0.7500 0.2500 0.4934
0.7500 0.5870 0.8375
0.7500 0.9130 0.8375
0.0008 0.2500 0.0020
0.0009 0.5855 0.3341
0.0009 0.9145 0.3341
0.2500 0.2500 0.4933
0.2500 0.5844 0.8340
0.2500 0.9156 0.8340
0.4992 0.2500 0.0020
0.4991 0.5855 0.3341
0.4991 0.9145 0.3341
0.5009 0.0855 0.6659
0.5009 0.4145 0.6659
0.5008 0.7500 0.9980
0.7500 0.0844 0.1660
0.7500 0.4156 0.1660
0.7500 0.7500 0.5067
0.9991 0.0855 0.6659
0.9991 0.4145 0.6659
0.9992 0.7500 0.9980
```

## Properties
energy of formation from the pure elements: 0.064 eV/atom
magnetization: 0.0 μB/f.u.
symmetry: No. 59
Fermi-level density of states: 20.64 states/eV/cell
crystal system: orthorhombic

Below is a relaxed structure of SrBeW2, with properties calculated at the GGA-PBEsol level.

POSCAR file:
```
SrBeW2
1.0
1.4046 0.8109 9.9085
-1.4046 0.8109 9.9085
0.0000 -1.6219 9.9085
Sr Be W
1 1 2
direct
0.0000 0.0000 0.0000
0.5000 0.5000 0.5000
0.2351 0.2351 0.2351
0.7649 0.7649 0.7649
```

## Properties
energy of formation from the pure elements: 1.094 eV/atom
magnetization: 0.0 μB/f.u.
symmetry: No. 166
Fermi-level density of states: 3.07 states/eV/cell
crystal system: trigonal

Below is a relaxed structure of Ca2AgP, with properties calculated at the GGA-PBEsol level.

POSCAR file:
```
Ca2AgP
1.0
4.8725 0.0000 0.0000
0.0000 4.8725 0.0000
0.0000 0.0000 3.7012
Ca Ag P
2 1 1
direct
0.0000 0.5000 0.0000
0.5000 0.0000 0.0000
0.0000 0.0000 0.5000
0.5000 0.5000 0.5000
```

## Properties
energy of formation from the pure elements: -0.646 eV/atom
magnetization: 0.0 μB/f.u.
symmetry: No. 123
Fermi-level density of states: 1.16 states/eV/cell
crystal system: tetragonal